[1]
NiIrCl2: optimized geometry, PBE.

abc: 7.027 7.027 4.113
angles: 89.96 89.96 24.23
Each line ends with the local moment (μB).
Atoms (fractional coordinates):
Ni 0.174 0.174 0.500  0.21
Cl 0.010 0.010 0.999  0.00
Ir 0.529 0.529 0.499  0.07
Cl 0.787 0.787 0.502  0.01

Properties
ρ: 6.413 Mg/m³
energy relative to the lowest polymorph listed for this composition: 0.291 eV per atom
energy relative to the elements, uncorrected: 370 meV/atom
total energy: -0.155 Ha/atom
total magnetization: 0.3 μB per formula unit
SG: Cm, No. 8



[2]
Ni2IrCl: optimized geometry, PBE.

abc: 2.763 4.423 4.407
angles: 90.00 90.00 90.00
Each line ends with the local moment (μB).
Atoms (fractional coordinates):
Ni 0.000 0.000 0.000  0.73
Ni 0.500 0.500 0.000  0.59
Ir 0.000 0.500 0.500  0.24
Cl 0.500 0.000 0.500  0.07

Properties
ρ: 10.637 Mg/m³
energy relative to the lowest polymorph listed for this composition: 0.538 eV per atom
energy relative to the elements, uncorrected: 728 meV/atom
total energy: -0.178 Ha/atom
total magnetization: 1.6 μB per formula unit
SG: Pmmm, No. 47



[3]
Ni2IrCl: optimized geometry, PBE.

abc: 4.571 5.878 2.761
angles: 61.77 90.12 120.01
Each line ends with the local moment (μB).
Atoms (fractional coordinates):
Ir 0.500 0.000 0.500  0.42
Ni 0.000 0.500 0.500  0.73
Cl 0.500 0.500 0.000  0.14
Ni 0.000 0.000 0.000  0.73

Properties
ρ: 10.639 Mg/m³
energy relative to the lowest polymorph listed for this composition: 0.401 eV per atom
energy relative to the elements, uncorrected: 590 meV/atom
total energy: -0.183 Ha/atom
total magnetization: 2.0 μB per formula unit
SG: C2/m, No. 12



[4]
Ni2IrCl: optimized geometry, PBE.

abc: 5.455 5.455 5.455
angles: 151.21 133.06 56.00
Each line ends with the local moment (μB).
Atoms (fractional coordinates):
Ni 0.019 0.019 0.000  0.54
Ni 0.775 0.275 0.500  0.45
Ir 0.237 0.737 0.500  0.21
Cl 0.469 0.469 0.000  0.04

Properties
ρ: 10.093 Mg/m³
energy relative to the lowest polymorph listed for this composition: 0.419 eV per atom
energy relative to the elements, uncorrected: 608 meV/atom
total energy: -0.182 Ha/atom
total magnetization: 1.2 μB per formula unit
SG: Imm2, No. 44



[5]
NiIr2Cl: optimized geometry, PBE.

abc: 3.763 3.763 9.180
angles: 78.17 78.17 90.00
Atoms (fractional coordinates):
Ir 0.103 0.625 0.250
Cl 0.250 0.750 0.500
Ir 0.647 0.125 0.250
Ir 0.375 0.353 0.750
Ir 0.875 0.897 0.750
Cl 0.500 0.500 0.000
Ni 0.000 0.000 0.000
Ni 0.750 0.250 0.500

Properties
ρ: 12.773 Mg/m³
energy relative to the lowest polymorph listed for this composition: 0.610 eV per atom
energy relative to the elements, uncorrected: 904 meV/atom
total energy: -0.200 Ha/atom
total magnetization: 0.0 μB per formula unit
SG: I-42d, No. 122



[6]
NiIrCl2: optimized geometry, PBE.

abc: 7.718 7.718 7.718
angles: 22.78 22.78 22.78
Each line ends with the local moment (μB).
Atoms (fractional coordinates):
Cl 0.014 0.014 0.014  0.00
Cl 0.486 0.486 0.486  0.00
Ni 0.750 0.750 0.750  -0.09
Ir 0.250 0.250 0.250  0.26

Properties
ρ: 8.837 Mg/m³
energy relative to the lowest polymorph listed for this composition: 0.512 eV per atom
energy relative to the elements, uncorrected: 591 meV/atom
total energy: -0.147 Ha/atom
total magnetization: 0.2 μB per formula unit
SG: R-3m, No. 166



[7]
NiIrCl2: optimized geometry, PBE.

abc: 3.918 3.126 5.274
angles: 96.21 90.00 90.00
Each line ends with the local moment (μB).
Atoms (fractional coordinates):
Ir 0.500 0.250 0.250  0.11
Cl 0.000 0.474 0.503  0.01
Ni 0.500 0.750 0.750  0.62
Cl 0.000 0.026 0.997  0.01

Properties
ρ: 8.323 Mg/m³
energy relative to the lowest polymorph listed for this composition: 0.502 eV per atom
energy relative to the elements, uncorrected: 581 meV/atom
total energy: -0.147 Ha/atom
total magnetization: 0.7 μB per formula unit
SG: P2/m, No. 10



[8]
NiIr2Cl: optimized geometry, PBE.

abc: 4.497 4.497 2.784
angles: 90.00 90.00 90.00
Atoms (fractional coordinates):
Ni 0.500 0.000 0.500
Ir 0.500 0.500 0.000
Cl 0.000 0.500 0.500
Ir 0.000 0.000 0.000

Properties
ρ: 14.112 Mg/m³
energy relative to the lowest polymorph listed for this composition: 0.668 eV per atom
energy relative to the elements, uncorrected: 962 meV/atom
total energy: -0.198 Ha/atom
total magnetization: 0.0 μB per formula unit
SG: P4/mmm, No. 123